(1)
The following is a DFT calculation (PBE-GGA) of a relaxed Mg2InGeN4 crystal.

Cell lengths 6.6536, 5.9621, 5.4283 Å; angles 90.00, 90.00, 90.00 degrees
Positions (direct):
Mg 0.2482 0.1624 0.0000
Mg 0.2518 0.8376 0.5000
Mg 0.7482 0.8376 0.5000
Mg 0.7518 0.1624 0.0000
In 0.0000 0.3451 0.4971
In 0.5000 0.6549 0.9971
Ge 0.0000 0.6715 0.0007
Ge 0.5000 0.3285 0.5007
N 0.0000 0.3680 0.9001
N 0.0000 0.6812 0.3471
N 0.2272 0.8280 0.8880
N 0.2728 0.1720 0.3880
N 0.5000 0.3188 0.8471
N 0.5000 0.6320 0.4001
N 0.7272 0.1720 0.3880
N 0.7728 0.8280 0.8880

Properties
energy: -5.73 eV per atom
DOS(E_F): 0.60 states/eV/atom
E_form (uncorrected): -253 meV/atom
SG: Pmn2_1


(2)
The following is a DFT calculation (PBE-GGA) of a relaxed ZnCo2W crystal.

Cell lengths 2.7234, 2.7234, 6.7647 Å; angles 90.00, 90.00, 90.00 degrees
Positions (direct):
Zn 0.0000 0.0000 0.0000
Co 0.5000 0.5000 0.2421
Co 0.5000 0.5000 0.7579
W 0.0000 0.0000 0.5000

Properties
energy: -7.13 eV per atom
DOS(E_F): 0.89 states/eV/atom
SG: P4/mmm


(3)
The following is a DFT calculation (PBE-GGA) of a relaxed ErLuBe2 crystal.

Cell lengths 4.7455, 4.7455, 4.7455 Å; angles 60.00, 60.00, 60.00 degrees
Positions (direct):
Er 0.0000 0.0000 0.0000
Lu 0.5000 0.5000 0.5000
Be 0.2500 0.2500 0.2500
Be 0.7500 0.7500 0.7500

Properties
energy: -4.07 eV per atom
DOS(E_F): 0.86 states/eV/atom
SG: Fm-3m


(4)
The following is a DFT calculation (PBE-GGA) of a relaxed RbLaRu2 crystal.

Cell lengths 10.2801, 10.2801, 10.2801 Å; angles 151.68, 151.68, 40.48 degrees
Positions (direct):
Rb 0.0000 0.0000 0.0000
Rb 0.7500 0.2500 0.5000
La 0.2500 0.7500 0.5000
La 0.5000 0.5000 0.0000
Ru 0.3383 0.6250 0.2133
Ru 0.3750 0.5883 0.7133
Ru 0.4117 0.1250 0.7867
Ru 0.8750 0.6617 0.2867

Properties
energy: -5.18 eV per atom
DOS(E_F): 1.42 states/eV/atom
SG: I-42d


(5)
The following is a DFT calculation (PBE-GGA) of a relaxed Mn2CrGa crystal.

Cell lengths 2.8801, 2.8801, 5.7170 Å; angles 90.00, 90.00, 90.00 degrees
Positions (direct):
Mn 0.0000 0.0000 0.2338
Mn 0.0000 0.0000 0.7662
Cr 0.5000 0.5000 0.0000
Ga 0.5000 0.5000 0.5000

Properties
energy: -7.77 eV per atom
DOS(E_F): 0.97 states/eV/atom
SG: P4/mmm


(6)
The following is a DFT calculation (PBE-GGA) of a relaxed AlSiPb crystal.

Cell lengths 3.4882, 3.8472, 10.3191 Å; angles 98.31, 99.33, 90.43 degrees
Positions (direct):
Al 0.0000 0.0000 0.0000
Al 0.3737 0.0417 0.7244
Si 0.4769 0.4721 0.9484
Si 0.8956 0.5610 0.7717
Pb 0.2359 0.4514 0.4837
Pb 0.6135 0.8515 0.2411

Properties
energy: -4.09 eV per atom
DOS(E_F): 0.39 states/eV/atom
E_form (uncorrected): 201 meV/atom
SG: P1


Which of these has the highest energy?
ErLuBe2


Number 6 is which compound?
AlSiPb